Entry 1:
Material: Bi2BHSe
Method: DFT, PBE
State: optimized geometry

Summary:
Total energy   -0.122 Ha/atom

Cell: 5.785 3.395 5.785 Å, 90.00 90.00 90.00°
Fractional positions:
1 Se 0.000 0.000 0.000
2 Bi 0.500 0.000 0.000
3 B 0.500 0.500 0.500
4 H 0.000 0.500 0.000
5 Bi 0.000 0.000 0.500



Entry 2:
Material: BiB2HSe
Method: DFT, PBE
State: optimized geometry

Summary:
Total energy   -0.119 Ha/atom

Cell: 4.647 3.440 4.647 Å, 90.00 90.00 90.00°
Fractional positions:
1 H 0.000 0.000 0.000
2 B 0.500 0.000 0.000
3 Se 0.000 0.500 0.000
4 Bi 0.500 0.500 0.500
5 B 0.000 0.000 0.500



Entry 3:
Material: SrBiBH2
Method: DFT, PBE
State: optimized geometry

Summary:
Total energy   -0.118 Ha/atom

Cell: 4.338 4.930 4.338 Å, 90.00 90.00 90.00°
Fractional positions:
1 H 0.500 0.000 0.000
2 B 0.000 0.500 0.000
3 Sr 0.500 0.500 0.500
4 Bi 0.000 0.000 0.000
5 H 0.000 0.000 0.500



Entry 4:
Material: Tc2BiBH
Method: DFT, PBE
State: optimized geometry

Summary:
Total energy   -0.229 Ha/atom

Cell: 4.422 3.396 4.422 Å, 90.00 90.00 90.00°
Fractional positions:
1 Tc 0.000 0.000 0.500
2 Tc 0.500 0.000 0.000
3 Bi 0.500 0.500 0.500
4 H 0.000 0.500 0.000
5 B 0.000 0.000 0.000



Entry 5:
Material: BiB2HW
Method: DFT, PBE
State: optimized geometry

Summary:
Total energy   -0.123 Ha/atom

Cell: 4.610 5.428 4.610 Å, 90.00 90.00 90.00°
Fractional positions:
1 H 0.500 0.500 0.500
2 Bi 0.000 0.000 0.000
3 B 0.000 0.000 0.500
4 W 0.000 0.500 0.000
5 B 0.500 0.000 0.000



Entry 6:
Material: ZrBiB2H
Method: DFT, PBE
State: optimized geometry

Summary:
Polymorph energy (0 for the lowest one)   0.00 eV per formula unit

Cell: 4.305 3.663 4.305 Å, 90.00 90.00 90.00°
Fractional positions:
1 H 0.000 0.000 0.000
2 Bi 0.500 0.500 0.500
3 B 0.500 0.000 0.000
4 Zr 0.000 0.500 0.000
5 B 0.000 0.000 0.500



Entry 7:
Material: ZrBiB2H
Method: DFT, PBE
State: optimized geometry

Summary:
Polymorph energy (0 for the lowest one)   3.97 eV per formula unit

Cell: 4.508 5.743 4.508 Å, 90.00 90.00 90.00°
Fractional positions:
1 B 0.000 0.000 0.500
2 B 0.500 0.000 0.000
3 Zr 0.000 0.000 0.000
4 Bi 0.000 0.500 0.000
5 H 0.500 0.500 0.500



Entry 8:
Material: Hf5BiB2
Method: DFT, PBE
State: optimized geometry

Summary:
DFT formation energy   -0.314 eV per atom

Cell: 6.788 6.788 7.945 Å, 115.29 115.29 90.00°
Fractional positions:
1 Hf 0.533 0.720 0.752
2 Bi 0.250 0.250 0.500
3 Bi 0.750 0.750 0.500
4 Hf 0.467 0.280 0.248
5 Hf 0.780 0.967 0.248
6 Hf 0.280 0.780 0.248
7 Hf 0.033 0.533 0.752
8 B 0.847 0.653 0.000
9 B 0.653 0.153 0.000
10 B 0.347 0.847 0.000
11 B 0.153 0.347 0.000
12 Hf 0.500 0.500 0.000
13 Hf 0.967 0.467 0.248
14 Hf 0.220 0.033 0.752
15 Hf 0.720 0.220 0.752
16 Hf 0.000 0.000 0.000